Entry 1:
Entry from Alexandria: Tm2Ga5Ni4 after structural relaxation (PBE-GGA).

Summary:
For the energy, the calculation gives -52.93 eV/cell.

Lattice parameters (Å, degrees): 5.2020 5.1257 8.1420 80.67 71.37 59.51
Closest atoms and distances in Å follow each position.
Fractional positions:
Ga: 0.0000 0.5000 0.0000  4 Ni 2.53, 4 Ga 2.56-2.60
Ga: 0.2500 0.5000 0.5000  4 Ni 2.41, 2 Ga 2.60
Ga: 0.7500 0.5000 0.5000  4 Ni 2.41, 2 Ga 2.60
Ga: 0.5000 0.5000 0.0000  4 Ni 2.53, 4 Ga 2.56-2.60
Ga: 0.5000 0.0000 0.0000  4 Ni 2.44, 4 Ga 2.56
Ni: 0.7872 0.6856 0.7400  5 Ga 2.41-2.53
Ni: 0.4728 0.3144 0.7400  5 Ga 2.41-2.53
Ni: 0.5272 0.6856 0.2600  5 Ga 2.41-2.53
Ni: 0.2128 0.3144 0.2600  5 Ga 2.41-2.53
Tm: 0.8690 0.0000 0.2620  6 Ni 2.95-3.03, 10 Ga 3.15-3.29
Tm: 0.1310 0.0000 0.7380  6 Ni 2.95-3.03, 10 Ga 3.15-3.29


Entry 2:
Entry from Alexandria: LaPmTlI after structural relaxation (PBE-GGA).

Summary:
As for the energy above the most stable polymorph in this dataset: 106 meV/atom. For the energy, the calculation gives -15.76 eV/cell. The uncorrected formation energy comes out at -0.54 eV/atom.

Lattice parameters (Å, degrees): 5.6044 5.6044 5.6044 60.00 60.00 60.00
Closest atoms and distances in Å follow each position.
Fractional positions:
La: 0.7500 0.7500 0.7500  4 Tl 3.43, 4 I 3.43
Pm: 0.2500 0.2500 0.2500  4 I 3.43, 4 Tl 3.43
I: 0.5000 0.5000 0.5000  4 La 3.43, 4 Pm 3.43
Tl: 0.0000 0.0000 0.0000  4 Pm 3.43, 4 La 3.43


Entry 3:
Entry from Alexandria: LaTlW2 after structural relaxation (PBE-GGA).

Summary:
As for the energy above the most stable polymorph in this dataset: 1199 meV/atom. For the energy, the calculation gives -54.11 eV/cell.

Lattice parameters (Å, degrees): 8.2132 8.2132 6.4774 50.65 50.65 90.00
Closest atoms and distances in Å follow each position.
Fractional positions:
W: 0.6592 0.1250 0.2500  2 Tl 2.81, 2 W 2.92
W: 0.8750 0.9092 0.7500  2 Tl 2.81, 2 W 2.92
W: 0.0908 0.6250 0.2500  2 Tl 2.81, 2 W 2.92
W: 0.3750 0.3408 0.7500  2 Tl 2.81, 2 W 2.92
Tl: 0.7500 0.2500 0.5000  4 W 2.81, 2 La 2.87
Tl: 0.0000 0.0000 0.0000  4 W 2.81, 2 La 2.87
La: 0.2500 0.7500 0.5000  2 Tl 2.87, 4 W 3.19
La: 0.5000 0.5000 0.0000  2 Tl 2.87, 4 W 3.19


Entry 4:
Entry from Alexandria: Mg5Rh4 after structural relaxation (PBE-GGA).

Summary:
As for the energy above the most stable polymorph in this dataset: 0 meV/atom. For the energy, the calculation gives -81.75 eV/cell.

Lattice parameters (Å, degrees): 7.7704 7.7704 5.4761 90.00 90.00 120.00
Closest atoms and distances in Å follow each position.
Fractional positions:
Mg: 0.2937 0.0000 0.2500  7 Rh 2.61-2.80
Mg: 0.6667 0.3333 0.0000  2 Mg 2.74, 6 Rh 2.83
Mg: 0.3333 0.6667 0.0000  2 Mg 2.74, 6 Rh 2.83
Mg: 0.0000 0.7063 0.7500  7 Rh 2.61-2.80
Mg: 0.7063 0.0000 0.7500  7 Rh 2.61-2.80
Mg: 0.2937 0.2937 0.7500  7 Rh 2.61-2.80
Mg: 0.0000 0.2937 0.2500  7 Rh 2.61-2.80
Mg: 0.6667 0.3333 0.5000  2 Mg 2.74, 6 Rh 2.83
Mg: 0.3333 0.6667 0.5000  2 Mg 2.74, 6 Rh 2.83
Mg: 0.7063 0.7063 0.2500  7 Rh 2.61-2.80
Rh: 0.0000 0.6336 0.2500  9 Mg 2.61-2.83
Rh: 0.0000 0.0000 0.0000  6 Mg 2.66, 2 Rh 2.74
Rh: 0.3664 0.3664 0.2500  9 Mg 2.61-2.83
Rh: 0.3664 0.0000 0.7500  9 Mg 2.61-2.83
Rh: 0.0000 0.3664 0.7500  9 Mg 2.61-2.83
Rh: 0.0000 0.0000 0.5000  6 Mg 2.66, 2 Rh 2.74
Rh: 0.6336 0.0000 0.2500  9 Mg 2.61-2.83
Rh: 0.6336 0.6336 0.7500  9 Mg 2.61-2.83


Entry 5:
Entry from Alexandria: KBa2GaSe after structural relaxation (PBE-GGA).

Summary:
For the energy, the calculation gives -12.92 eV/cell. The uncorrected formation energy comes out at -0.29 eV/atom.

Lattice parameters (Å, degrees): 6.2471 5.9522 6.2471 90.00 90.00 90.00
Closest atoms and distances in Å follow each position.
Fractional positions:
Ga: 0.0000 0.0000 0.0000  2 K 2.98, 4 Ba 3.12
K: 0.0000 0.5000 0.0000  2 Ga 2.98
Ba: 0.5000 0.0000 0.0000  2 Ga 3.12
Ba: 0.0000 0.0000 0.5000  2 Ga 3.12
Se: 0.5000 0.5000 0.5000  8 Ba 4.31, 4 K 4.42


Entry 6:
Entry from Alexandria: BaCuCl after structural relaxation (PBE-GGA).

Summary:
As for the energy above the most stable polymorph in this dataset: 196 meV/atom. For the energy, the calculation gives -19.80 eV/cell. The uncorrected formation energy comes out at -0.68 eV/atom.

Lattice parameters (Å, degrees): 4.5356 4.5305 12.3441 90.00 90.00 120.04
Closest atoms and distances in Å follow each position.
Fractional positions:
Cu: 0.5559 0.1118 0.5000  2 Cl 2.14
Cu: 0.5554 0.1108 0.0000  6 Ba 3.28
Cl: 0.5559 0.1117 0.6730  1 Cu 2.14
Cl: 0.5559 0.1117 0.3270  1 Cu 2.14
Ba: 0.2218 0.4436 0.1605  3 Cu 3.28, 3 Cl 3.33
Ba: 0.2218 0.4436 0.8395  3 Cu 3.28, 3 Cl 3.33


Entry 7:
Entry from Alexandria: Ni2SnN after structural relaxation (PBE-GGA).

Summary:
As for the energy above the most stable polymorph in this dataset: 0 meV/atom. For the energy, the calculation gives -46.91 eV/cell. The uncorrected formation energy comes out at 0.11 eV/atom.

Lattice parameters (Å, degrees): 4.6221 4.6221 6.4173 68.89 68.89 90.00
Closest atoms and distances in Å follow each position.
Fractional positions:
Sn: 0.0000 0.0000 0.0000  4 Ni 2.64
Sn: 0.7500 0.2500 0.5000  4 Ni 2.64
N: 0.5000 0.5000 0.0000  4 Ni 1.84
N: 0.2500 0.7500 0.5000  4 Ni 1.84
Ni: 0.8750 0.7081 0.7500  2 N 1.84
Ni: 0.2919 0.6250 0.2500  2 N 1.84
Ni: 0.3750 0.5419 0.7500  2 N 1.84
Ni: 0.4581 0.1250 0.2500  2 N 1.84


Entry 8:
Entry from Alexandria: CeSm3Ho after structural relaxation (PBE-GGA).

Summary:
For the energy, the calculation gives -97.16 eV/cell.

Lattice parameters (Å, degrees): 6.7683 11.7971 12.2283 47.91 84.64 105.28
Closest atoms and distances in Å follow each position.
Fractional positions:
Ho: 0.2800 0.2935 0.6373  3 Ho 3.47-3.68, 9 Sm 3.51-3.73
Ho: 0.7200 0.7065 0.3627  3 Ho 3.47-3.68, 9 Sm 3.51-3.73
Ho: 0.7693 0.0261 0.9467  7 Sm 3.46-3.76, 4 Ho 3.47-3.68
Ho: 0.2307 0.9739 0.0533  7 Sm 3.46-3.76, 4 Ho 3.47-3.68
Sm: 0.3557 0.6046 0.2240  2 Ce 3.38-3.60, 4 Ho 3.51-3.76, 5 Sm 3.53-3.78
Sm: 0.5863 0.7943 0.5907  6 Sm 3.39-3.78, 3 Ce 3.50-3.57, 1 Ho 3.68
Sm: 0.8193 0.3398 0.5293  7 Sm 3.43-3.71, 4 Ho 3.53-3.68, 1 Ce 3.68
Sm: 0.8865 0.6369 0.1201  2 Ce 3.32-3.52, 5 Sm 3.48-3.64, 1 Ho 3.51
Sm: 0.1807 0.6602 0.4707  7 Sm 3.43-3.71, 4 Ho 3.53-3.68, 1 Ce 3.68
Sm: 0.3811 0.9438 0.7908  5 Sm 3.34-3.59, 2 Ce 3.45-3.66, 3 Ho 3.51-3.68
Sm: 0.1245 0.0514 0.2746  1 Ce 3.17, 1 Sm 3.34, 1 Ho 3.46
Sm: 0.8755 0.9486 0.7254  1 Ce 3.17, 1 Sm 3.34, 1 Ho 3.46
Sm: 0.4137 0.2057 0.4093  6 Sm 3.39-3.78, 3 Ce 3.50-3.57, 1 Ho 3.68
Sm: 0.6443 0.3954 0.7760  2 Ce 3.38-3.60, 4 Ho 3.51-3.76, 5 Sm 3.53-3.78
Sm: 0.1135 0.3631 0.8799  2 Ce 3.32-3.52, 5 Sm 3.48-3.64, 1 Ho 3.51
Sm: 0.6189 0.0562 0.2092  5 Sm 3.34-3.59, 2 Ce 3.45-3.66, 3 Ho 3.51-3.68
Ce: 0.3185 0.5398 0.9947  2 Ce 2.75-2.84
Ce: 0.0335 0.7232 0.7178  1 Ce 2.75
Ce: 0.6815 0.4602 0.0053  2 Ce 2.75-2.84
Ce: 0.9665 0.2768 0.2822  1 Ce 2.75


Entry 9:
Entry from Alexandria: Ag7PSe6 after structural relaxation (PBE-GGA).

Summary:
As for the energy above the most stable polymorph in this dataset: 0 meV/atom. For the energy, the calculation gives -190.69 eV/cell. The uncorrected formation energy comes out at -0.10 eV/atom.

Lattice parameters (Å, degrees): 10.9269 10.9269 10.9269 90.00 90.00 90.00
Closest atoms and distances in Å follow each position.
Fractional positions:
Se: 0.2105 0.2105 0.2105  4 Ag 2.52-2.66
Se: 0.1316 0.1197 0.8603  1 P 2.24
Se: 0.9787 0.0213 0.5213  7 Ag 2.55-2.84
Se: 0.6397 0.8684 0.6197  1 P 2.24
Se: 0.6316 0.3803 0.1397  1 P 2.24
Se: 0.2895 0.7895 0.7105  4 Ag 2.52-2.66
Se: 0.3661 0.6339 0.1339  1 P 2.28
Se: 0.0213 0.5213 0.9787  7 Ag 2.55-2.84
Se: 0.7105 0.2895 0.7895  4 Ag 2.52-2.66
Se: 0.8684 0.6197 0.6397  1 P 2.24
Se: 0.7895 0.7105 0.2895  4 Ag 2.52-2.66
Se: 0.6339 0.1339 0.3661  1 P 2.28
Se: 0.1397 0.6316 0.3803  1 P 2.24
Se: 0.6197 0.6397 0.8684  1 P 2.24
Se: 0.1197 0.8603 0.1316  1 P 2.24
Se: 0.8603 0.1316 0.1197  1 P 2.24
Se: 0.3803 0.1397 0.6316  1 P 2.24
Se: 0.8803 0.3603 0.3684  1 P 2.24
Se: 0.4787 0.4787 0.4787  7 Ag 2.55-2.84
Se: 0.5213 0.9787 0.0213  7 Ag 2.55-2.84
Se: 0.1339 0.3661 0.6339  1 P 2.28
Se: 0.8661 0.8661 0.8661  1 P 2.28
Se: 0.3684 0.8803 0.3603  1 P 2.24
Se: 0.3603 0.3684 0.8803  1 P 2.24
Ag: 0.2208 0.9896 0.5178  3 Se 2.64-2.70
Ag: 0.3439 0.3439 0.3439  2 Se 2.52-2.55
Ag: 0.2792 0.0104 0.0178  3 Se 2.64-2.70
Ag: 0.0104 0.0178 0.2792  3 Se 2.64-2.70
Ag: 0.9295 0.3934 0.7719  4 Se 2.66-2.94
Ag: 0.9822 0.7792 0.4896  3 Se 2.64-2.70
Ag: 0.8934 0.7281 0.0705  4 Se 2.66-2.94
Ag: 0.7719 0.9295 0.3934  4 Se 2.66-2.94
Ag: 0.7281 0.0705 0.8934  4 Se 2.66-2.94
Ag: 0.7208 0.5104 0.4822  3 Se 2.64-2.70
Ag: 0.5104 0.4822 0.7208  3 Se 2.64-2.70
Ag: 0.5178 0.2208 0.9896  3 Se 2.64-2.70
Ag: 0.4295 0.1066 0.2281  4 Se 2.66-2.94
Ag: 0.8439 0.1561 0.6561  2 Se 2.52-2.55
Ag: 0.0178 0.2792 0.0104  3 Se 2.64-2.70
Ag: 0.1066 0.2281 0.4295  4 Se 2.66-2.94
Ag: 0.2281 0.4295 0.1066  4 Se 2.66-2.94
Ag: 0.1561 0.6561 0.8439  2 Se 2.52-2.55
Ag: 0.6066 0.2719 0.5705  4 Se 2.66-2.94
Ag: 0.0705 0.8934 0.7281  4 Se 2.66-2.94
Ag: 0.3934 0.7719 0.9295  4 Se 2.66-2.94
Ag: 0.7792 0.4896 0.9822  3 Se 2.64-2.70
Ag: 0.4896 0.9822 0.7792  3 Se 2.64-2.70
Ag: 0.5705 0.6066 0.2719  4 Se 2.66-2.94
Ag: 0.4822 0.7208 0.5104  3 Se 2.64-2.70
Ag: 0.9896 0.5178 0.2208  3 Se 2.64-2.70
Ag: 0.6561 0.8439 0.1561  2 Se 2.52-2.55
Ag: 0.2719 0.5705 0.6066  4 Se 2.66-2.94
P: 0.7542 0.2542 0.2458  4 Se 2.24-2.28
P: 0.7458 0.7458 0.7458  4 Se 2.24-2.28
P: 0.2542 0.2458 0.7542  4 Se 2.24-2.28
P: 0.2458 0.7542 0.2542  4 Se 2.24-2.28


Entry 10:
Entry from Alexandria: Rb2AlP2 after structural relaxation (PBE-GGA).

Summary:
As for the energy above the most stable polymorph in this dataset: 328 meV/atom. For the energy, the calculation gives -33.73 eV/cell.

Lattice parameters (Å, degrees): 6.7306 6.7306 5.7094 90.00 90.00 90.00
Closest atoms and distances in Å follow each position.
Fractional positions:
P: 0.8825 0.6175 0.0000  1 P 2.24
P: 0.6175 0.1175 0.0000  1 P 2.24
P: 0.1175 0.3825 0.0000  1 P 2.24
P: 0.3825 0.8825 0.0000  1 P 2.24
Rb: 0.6801 0.8199 0.5000  5 Rb 3.43-3.49, 6 P 3.44-3.51, 4 Al 3.78
Rb: 0.8199 0.3199 0.5000  5 Rb 3.43-3.49, 6 P 3.44-3.51, 4 Al 3.78
Rb: 0.1801 0.6801 0.5000  5 Rb 3.43-3.49, 6 P 3.44-3.51, 4 Al 3.78
Rb: 0.3199 0.1801 0.5000  5 Rb 3.43-3.49, 6 P 3.44-3.51, 4 Al 3.78
Al: 0.5000 0.5000 0.0000  4 P 2.69
Al: 0.0000 0.0000 0.0000  4 P 2.69